Below is a relaxed TaRe2Ag crystal, with properties calculated at the PBE level.

Output
Energy of formation (eV per atom): 0.300
Energy (eV/atom): -9.600

a b c (Å): 3.9848 3.9848 4.0300
angles (deg): 90.00 90.00 90.00
Closest atoms and distances in Å follow each position.
Sites, in units of the cell vectors:
1 Ta 0.0000 0.0000 0.0000  4 Ag 2.82, 8 Re 2.83
2 Re 0.0000 0.5000 0.5000  4 Re 2.82, 4 Ta 2.83, 4 Ag 2.83
3 Re 0.5000 0.0000 0.5000  4 Re 2.82, 4 Ta 2.83, 4 Ag 2.83
4 Ag 0.5000 0.5000 0.0000  4 Ta 2.82, 8 Re 2.83